1.
DFT (PBE) results for SmIn after structural relaxation.

Cell lengths 3.561, 3.561, 5.292 Å; angles 90.00, 90.00, 120.00 degrees
Positions (direct):
1 In 0.666 0.333 0.750
2 Sm 0.334 0.667 0.250

Values from the calculation:
SG	P-6m2
total DFT energy (no corrections)	-3.995	eV per atom

2.
DFT (PBE) results for SrGdTl after structural relaxation.

Cell lengths 5.443, 5.443, 5.443 Å; angles 60.00, 60.00, 60.00 degrees
Positions (direct):
1 Sr 0.750 0.750 0.750
2 Gd 0.250 0.250 0.250
3 Tl 0.000 0.000 0.000

Values from the calculation:
SG	F-43m
total DFT energy (no corrections)	-2.962	eV per atom

3.
DFT (PBE) results for ErLuTa2Ge2 after structural relaxation.

Cell lengths 4.013, 4.013, 7.711 Å; angles 90.00, 90.00, 90.00 degrees
Last column: magnetic moment on the atom in μB.
Positions (direct):
1 Ta 0.500 0.000 0.001  0.05
2 Ta 0.000 0.500 0.001  0.05
3 Ge 0.500 0.500 0.252  -0.01
4 Ge 0.000 0.000 0.749  -0.01
5 Er 0.500 0.500 0.647  0.28
6 Lu 0.000 0.000 0.350  0.24

Values from the calculation:
SG	P4mm
total DFT energy (no corrections)	-7.594	eV per atom

4.
DFT (PBE) results for CuAg7 after structural relaxation.

Cell lengths 5.818, 5.818, 5.018 Å; angles 106.93, 106.93, 60.05 degrees
Positions (direct):
1 Ag 0.248 0.248 0.494
2 Ag 0.500 0.500 0.000
3 Ag 0.752 0.752 0.506
4 Ag 0.246 0.754 0.500
5 Ag 0.754 0.246 0.500
6 Ag 0.000 0.500 0.000
7 Ag 0.500 0.000 0.000
8 Cu 0.000 0.000 0.000

Values from the calculation:
SG	C2/m
energy of formation from the pure elements	0.039	eV/atom
offset from the most stable computed form	16	meV per atom

5.
DFT (PBE) results for BaSi2GePd after structural relaxation.

Cell lengths 6.105, 6.105, 6.105 Å; angles 136.89, 136.89, 62.60 degrees
Positions (direct):
1 Ba 0.604 0.604 0.000
2 Si 0.357 0.857 0.500
3 Si 0.857 0.357 0.500
4 Pd 0.256 0.256 0.000
5 Ge 0.996 0.996 0.000

Values from the calculation:
SG	I4mm
total DFT energy (no corrections)	-5.018	eV per atom

6.
DFT (PBE) results for CsAu after structural relaxation.

Cell lengths 4.776, 4.776, 4.675 Å; angles 90.00, 90.00, 120.00 degrees
Positions (direct):
1 Cs 0.333 0.667 0.250
2 Au 0.667 0.333 0.750

Values from the calculation:
SG	P-6m2
offset from the most stable computed form	40	meV per atom

7.
DFT (PBE) results for NaHoCd after structural relaxation.

Cell lengths 5.117, 5.117, 5.117 Å; angles 60.00, 60.00, 60.00 degrees
Positions (direct):
1 Cd 0.750 0.750 0.750
2 Ho 0.000 0.000 0.000
3 Na 0.250 0.250 0.250

Values from the calculation:
SG	F-43m
offset from the most stable computed form	259	meV per atom

8.
DFT (PBE) results for SrPaAs after structural relaxation.

Cell lengths 5.019, 5.019, 5.019 Å; angles 60.00, 60.00, 60.00 degrees
Positions (direct):
1 Sr 0.750 0.750 0.750
2 As 0.000 0.000 0.000
3 Pa 0.250 0.250 0.250

Values from the calculation:
SG	F-43m
offset from the most stable computed form	0	meV per atom

9.
DFT (PBE) results for ZrZnFeAu after structural relaxation.

Cell lengths 4.545, 4.545, 4.545 Å; angles 60.00, 60.00, 60.00 degrees
Positions (direct):
1 Fe 0.750 0.750 0.750
2 Zn 0.000 0.000 0.000
3 Zr 0.500 0.500 0.500
4 Au 0.250 0.250 0.250

Values from the calculation:
SG	F-43m
energy of formation from the pure elements	-0.143	eV/atom
offset from the most stable computed form	0	meV per atom

10.
DFT (PBE) results for Sr3B7Pt2 after structural relaxation.

Cell lengths 8.546, 8.546, 8.546 Å; angles 35.71, 35.71, 35.71 degrees
Positions (direct):
1 B 0.212 0.536 0.536
2 B 0.500 0.500 0.500
3 B 0.464 0.464 0.788
4 B 0.536 0.536 0.212
5 B 0.464 0.788 0.464
6 B 0.788 0.464 0.464
7 B 0.536 0.212 0.536
8 Sr 0.864 0.864 0.864
9 Sr 0.000 0.000 0.000
10 Sr 0.136 0.136 0.136
11 Pt 0.744 0.744 0.744
12 Pt 0.256 0.256 0.256

Values from the calculation:
SG	R-3m
total DFT energy (no corrections)	-5.417	eV per atom

11.
DFT (PBE) results for Ho2FeCoSi4 after structural relaxation.

Cell lengths 3.939, 8.446, 8.446 Å; angles 27.43, 90.00, 90.00 degrees
Positions (direct):
1 Fe 0.000 0.822 0.822
2 Si 0.500 0.749 0.749
3 Si 0.000 0.250 0.250
4 Si 0.000 0.958 0.958
5 Si 0.500 0.043 0.043
6 Ho 0.500 0.392 0.392
7 Ho 0.000 0.608 0.608
8 Co 0.500 0.178 0.178

Values from the calculation:
SG	Amm2
total DFT energy (no corrections)	-6.478	eV per atom

12.
DFT (PBE) results for InCuAgMo after structural relaxation.

Cell lengths 4.582, 4.582, 4.582 Å; angles 60.00, 60.00, 60.00 degrees
Positions (direct):
1 Cu 0.750 0.750 0.750
2 Ag 0.250 0.250 0.250
3 In 0.000 0.000 0.000
4 Mo 0.500 0.500 0.500

Values from the calculation:
SG	F-43m
offset from the most stable computed form	0	meV per atom

13.
DFT (PBE) results for NbFeHgBi after structural relaxation.

Cell lengths 4.803, 4.803, 4.803 Å; angles 60.00, 60.00, 60.00 degrees
Positions (direct):
1 Nb 0.500 0.500 0.500
2 Bi 0.000 0.000 0.000
3 Hg 0.250 0.250 0.250
4 Fe 0.750 0.750 0.750

Values from the calculation:
SG	F-43m
offset from the most stable computed form	66	meV per atom

14.
DFT (PBE) results for Li6HgPt after structural relaxation.

Cell lengths 4.354, 4.354, 6.175 Å; angles 90.00, 90.00, 90.00 degrees
Positions (direct):
1 Li 0.500 0.000 0.730
2 Li 0.500 0.000 0.270
3 Li 0.000 0.500 0.730
4 Li 0.000 0.000 0.500
5 Li 0.500 0.500 0.000
6 Li 0.000 0.500 0.270
7 Hg 0.000 0.000 0.000
8 Pt 0.500 0.500 0.500

Values from the calculation:
SG	P4/mmm
total DFT energy (no corrections)	-2.567	eV per atom

15.
DFT (PBE) results for YLu6Te2Pd2 after structural relaxation.

Cell lengths 9.247, 9.247, 9.247 Å; angles 155.71, 67.13, 118.51 degrees
Positions (direct):
1 Lu 0.387 0.742 0.645
2 Lu 0.023 0.893 0.130
3 Lu 0.419 0.102 0.316
4 Lu 0.763 0.893 0.870
5 Lu 0.786 0.102 0.684
6 Lu 0.096 0.742 0.355
7 Pd 0.168 0.406 0.762
8 Pd 0.644 0.406 0.238
9 Te 0.138 0.138 0.000
10 Te 0.743 0.243 0.500
11 Y 0.477 0.477 0.000

Values from the calculation:
SG	Imm2
total DFT energy (no corrections)	-5.425	eV per atom

16.
DFT (PBE) results for LuNiBiMo after structural relaxation.

Cell lengths 4.738, 4.738, 4.738 Å; angles 60.00, 60.00, 60.00 degrees
Positions (direct):
1 Lu 0.500 0.500 0.500
2 Bi 0.000 0.000 0.000
3 Mo 0.250 0.250 0.250
4 Ni 0.750 0.750 0.750

Values from the calculation:
SG	F-43m
offset from the most stable computed form	0	meV per atom

17.
DFT (PBE) results for LuGaFeOs after structural relaxation.

Cell lengths 4.540, 4.540, 4.540 Å; angles 60.00, 60.00, 60.00 degrees
Positions (direct):
1 Lu 0.250 0.250 0.250
2 Os 0.500 0.500 0.500
3 Fe 0.750 0.750 0.750
4 Ga 0.000 0.000 0.000

Values from the calculation:
SG	F-43m
offset from the most stable computed form	81	meV per atom

18.
DFT (PBE) results for LaNd2Mg3Tl2Cd after structural relaxation.

Cell lengths 4.780, 7.764, 7.764 Å; angles 120.18, 90.00, 90.00 degrees
Positions (direct):
1 La 0.000 0.422 0.422
2 Mg 0.500 0.762 0.762
3 Mg 0.500 0.238 0.999
4 Mg 0.500 0.999 0.238
5 Nd 0.000 0.000 0.579
6 Nd 0.000 0.579 0.000
7 Cd 0.000 0.998 0.998
8 Tl 0.500 0.333 0.668
9 Tl 0.500 0.668 0.333

Values from the calculation:
SG	Amm2
total DFT energy (no corrections)	-3.101	eV per atom

19.
DFT (PBE) results for PmCoSb after structural relaxation.

Cell lengths 4.572, 4.572, 4.572 Å; angles 60.00, 60.00, 60.00 degrees
Positions (direct):
1 Pm 0.250 0.250 0.250
2 Co 0.000 0.000 0.000
3 Sb 0.750 0.750 0.750

Values from the calculation:
SG	F-43m
offset from the most stable computed form	0	meV per atom

20.
DFT (PBE) results for TbDyO2 after structural relaxation.

Cell lengths 3.398, 3.398, 4.806 Å; angles 90.00, 90.00, 90.00 degrees
Positions (direct):
1 Dy 0.000 0.000 0.000
2 O 0.500 0.500 0.000
3 O 0.000 0.000 0.500
4 Tb 0.500 0.500 0.500

Values from the calculation:
SG	P4/mmm
total DFT energy (no corrections)	-7.578	eV per atom

21.
DFT (PBE) results for Nd2Sb3Pd9 after structural relaxation.

Cell lengths 8.027, 8.027, 9.383 Å; angles 90.00, 90.00, 60.42 degrees
Positions (direct):
1 Pd 0.657 0.000 0.587
2 Pd 0.640 0.557 0.750
3 Pd 0.343 0.000 0.087
4 Pd 0.557 0.640 0.250
5 Pd 0.000 0.657 0.087
6 Pd 0.669 0.331 0.466
7 Pd 0.000 0.657 0.413
8 Pd 0.360 0.443 0.250
9 Pd 0.331 0.669 0.534
10 Pd 0.000 0.343 0.913
11 Pd 0.855 0.145 0.750
12 Pd 0.331 0.669 0.966
13 Pd 0.000 0.343 0.587
14 Pd 0.669 0.331 0.034
15 Pd 0.145 0.855 0.250
16 Pd 0.343 0.000 0.413
17 Pd 0.443 0.360 0.750
18 Pd 0.657 0.000 0.913
19 Sb 0.678 0.678 0.000
20 Sb 0.000 0.000 0.000
21 Sb 0.000 0.000 0.500
22 Sb 0.322 0.322 0.500
23 Sb 0.678 0.678 0.500
24 Sb 0.322 0.322 0.000
25 Nd 0.675 0.017 0.250
26 Nd 0.325 0.983 0.750
27 Nd 0.983 0.325 0.250
28 Nd 0.017 0.675 0.750

Values from the calculation:
SG	Cmcm
total DFT energy (no corrections)	-5.614	eV per atom

22.
DFT (PBE) results for TbRe2W2 after structural relaxation.

Cell lengths 6.139, 6.139, 6.139 Å; angles 138.65, 138.65, 59.92 degrees
Positions (direct):
1 Re 0.379 0.379 0.000
2 Re 0.621 0.621 0.000
3 W 0.250 0.750 0.500
4 W 0.750 0.250 0.500
5 Tb 0.000 0.000 0.000

Values from the calculation:
SG	I4/mmm
energy of formation from the pure elements	0.117	eV/atom
offset from the most stable computed form	0	meV per atom

23.
DFT (PBE) results for Na3LuH6 after structural relaxation.

Cell lengths 5.784, 5.784, 5.784 Å; angles 60.00, 60.00, 60.00 degrees
Positions (direct):
1 Na 0.500 0.500 0.500
2 Na 0.750 0.750 0.750
3 Na 0.250 0.250 0.250
4 Lu 0.000 0.000 0.000
5 H 0.247 0.753 0.753
6 H 0.753 0.247 0.753
7 H 0.753 0.753 0.247
8 H 0.247 0.753 0.247
9 H 0.247 0.247 0.753
10 H 0.753 0.247 0.247

Values from the calculation:
SG	Fm-3m
total DFT energy (no corrections)	-3.009	eV per atom

24.
DFT (PBE) results for YAgPbSe3 after structural relaxation.

Cell lengths 10.780, 4.148, 13.733 Å; angles 90.00, 90.00, 90.00 degrees
Positions (direct):
1 Y 0.015 0.250 0.255
2 Y 0.985 0.750 0.745
3 Y 0.485 0.750 0.755
4 Y 0.515 0.250 0.245
5 Se 0.963 0.750 0.111
6 Se 0.463 0.750 0.389
7 Se 0.037 0.250 0.889
8 Se 0.432 0.250 0.896
9 Se 0.763 0.250 0.341
10 Se 0.568 0.750 0.104
11 Se 0.237 0.750 0.659
12 Se 0.068 0.750 0.396
13 Se 0.263 0.250 0.159
14 Se 0.932 0.250 0.604
15 Se 0.537 0.250 0.611
16 Se 0.737 0.750 0.841
17 Ag 0.260 0.750 0.282
18 Ag 0.240 0.250 0.782
19 Ag 0.760 0.750 0.218
20 Ag 0.740 0.250 0.718
21 Pb 0.271 0.250 0.492
22 Pb 0.729 0.750 0.508
23 Pb 0.229 0.750 0.992
24 Pb 0.771 0.250 0.008

Values from the calculation:
SG	Pnma
offset from the most stable computed form	9	meV per atom

25.
DFT (PBE) results for BaY2Tc after structural relaxation.

Cell lengths 5.371, 5.371, 5.371 Å; angles 60.00, 60.00, 60.00 degrees
Positions (direct):
1 Ba 0.000 0.000 0.000
2 Tc 0.250 0.250 0.250
3 Y 0.500 0.500 0.500
4 Y 0.750 0.750 0.750

Values from the calculation:
SG	F-43m
total DFT energy (no corrections)	-5.639	eV per atom

26.
DFT (PBE) results for ZrBeOs after structural relaxation.

Cell lengths 4.315, 4.315, 4.315 Å; angles 60.00, 60.00, 60.00 degrees
Positions (direct):
1 Zr 0.000 0.000 0.000
2 Os 0.750 0.750 0.750
3 Be 0.250 0.250 0.250

Values from the calculation:
SG	F-43m
offset from the most stable computed form	521	meV per atom